No. 1
The following is a PBE-GGA calculation of an optimized crystal structure of Tm7Ni2Ir2, from Alexandria via LeMat-Bulk.

a = 6.5512 Å, b = 6.7776 Å, c = 6.5512 Å
α = 90.00°, β = 100.77°, γ = 90.00°
Element x y z (fractional)
Ir (0.7227, 0.0000, 0.2773)
Tm (0.0002, 0.7404, 0.4997)
Ni (0.7626, 0.5000, 0.7626)
Tm (0.4998, 0.2589, 0.5002)
Ni (0.2374, 0.5000, 0.2374)
Ir (0.2773, 0.0000, 0.7227)
Tm (0.4997, 0.2596, 0.0002)
Tm (0.9998, 0.2596, 0.5003)
Tm (0.5002, 0.7411, 0.4998)
Tm (0.5003, 0.7404, 0.9998)
Tm (0.0000, 0.0000, 0.0000)

Results
calculated total energy	-5.8730	eV/atom
space-group type	No. 65
DOS(E_F)	9.892	states/eV/cell

***

No. 2
The following is a PBE-GGA calculation of an optimized crystal structure of TmNi4Ir, from Alexandria via LeMat-Bulk.

a = 3.9534 Å, b = 6.5065 Å, c = 6.8698 Å
α = 90.00°, β = 90.00°, γ = 90.00°
Element x y z (fractional)
Ni (0.0000, 0.0000, 0.0000)
Ni (0.5000, 0.6857, 0.0527)
Ni (0.5000, 0.3143, 0.5527)
Ni (0.5000, 0.9866, 0.7500)
Ni (0.0000, 0.0000, 0.5000)
Ni (0.5000, 0.3143, 0.9473)
Tm (0.0000, 0.6592, 0.7500)
Ni (0.5000, 0.0134, 0.2500)
Ir (0.0000, 0.7506, 0.2500)
Tm (0.0000, 0.3408, 0.2500)
Ni (0.5000, 0.6857, 0.4473)
Ir (0.0000, 0.2494, 0.7500)

Results
polymorph energy (0 for the lowest one)	201.3	meV per atom
calculated total energy	-6.1573	eV/atom
space-group type	No. 51
DOS(E_F)	19.393	states/eV/cell

***

No. 3
The following is a PBE-GGA calculation of an optimized crystal structure of Tm4Ni3Ir, from Alexandria via LeMat-Bulk.

a = 3.7170 Å, b = 4.1523 Å, c = 10.1981 Å
α = 90.00°, β = 90.00°, γ = 90.00°
Element x y z (fractional)
Tm (0.5000, 0.5000, 0.3601)
Ir (0.5000, 0.5000, 0.0773)
Ni (0.0000, 0.0000, 0.4326)
Ni (0.5000, 0.0000, 0.9177)
Tm (0.0000, 0.0000, 0.1431)
Tm (0.5000, 0.0000, 0.6393)
Ni (0.0000, 0.5000, 0.5714)
Tm (0.0000, 0.5000, 0.8585)

Results
calculated total energy	-6.1181	eV/atom
space-group type	No. 25
DOS(E_F)	5.705	states/eV/cell